Record 1
MnAu8 at its PBEsol-relaxed geometry. Source: the Alexandria database, functional meta-GGA SCAN.

```
MnAu8
1.0
-4.3220 4.3220 2.0067
4.3220 -4.3220 2.0067
4.3220 4.3220 -2.0067
Mn Au
1 8
Direct
0.0000 0.0000 0.0000
0.0000 0.3302 0.3302
0.0000 0.6698 0.6698
0.3302 0.0000 0.3302
0.3374 0.3374 0.6747
0.3374 0.6626 0.0000
0.6626 0.3374 0.0000
0.6626 0.6626 0.3253
0.6698 0.0000 0.6698
```

Values from the calculation:
The value obtained for the total energy is -63.643 eV per atom. For the density of states at the Fermi level, the calculation gives 2.9 states/eV/cell. The space-group type is I4/mmm, No. 139.

Record 2
MnAu3 at its PBEsol-relaxed geometry. Source: the Alexandria database, functional meta-GGA SCAN.

```
MnAu3
1.0
4.8750 0.0000 0.0000
0.0000 4.8750 0.0000
0.0000 0.0000 4.8750
Mn Au
1 3
Direct
0.0000 0.0000 0.0000
0.0000 0.0000 0.5000
0.0000 0.5000 0.0000
0.5000 0.0000 0.0000
```

Values from the calculation:
The value obtained for the total energy is -55.634 eV per atom. For the density of states at the Fermi level, the calculation gives 1.8 states/eV/cell. The space-group type is Pm-3m, No. 221.